1.
PrAsOsO after structural relaxation, computed with PBE.

Lattice parameters (Å, degrees): 4.2729 4.2912 7.4724 90.00 90.00 90.00
With the nearest neighbours (Å) after each atom.
Space group Pmc2_1 (No. 26)
One atom of each set of equivalent atoms:
Pr1 0.0000 0.2503 0.0000 [2 per cell]  3 O 2.47-2.50
As1 0.5000 0.2464 0.6670 [2 per cell]  3 Os 2.47-2.49
Os1 0.5000 0.2562 0.3340 [2 per cell]  2 O 2.14
O1 0.0000 0.2461 0.3315 [2 per cell]  2 Os 2.14

volume	137.0	Å³/cell
E	-59.92	eV/cell
density	10230	kg/m³

2.
PrAsOsO after structural relaxation, computed with PBE.

Lattice parameters (Å, degrees): 4.1377 6.3965 5.8640 90.00 90.00 90.00
With the nearest neighbours (Å) after each atom.
Space group Pmc2_1 (No. 26)
One atom of each set of equivalent atoms:
Pr1 0.0000 0.1695 0.0000 [2 per cell]  2 O 2.24
As1 0.0000 0.3346 0.4665 [2 per cell]  4 Os 2.65-2.87, 1 Pr 2.93
Os1 0.5000 0.4885 0.1719 [2 per cell]  2 O 2.05-2.14
O1 0.5000 0.2677 0.8982 [2 per cell]  2 Os 2.05-2.14, 2 Pr 2.24

volume	155.2	Å³/cell
E	-58.37	eV/cell
density	9031	kg/m³

3.
ScAsOsO after structural relaxation, computed with PBE.

Lattice parameters (Å, degrees): 4.0138 5.6843 5.5505 90.00 90.00 90.00
With the nearest neighbours (Å) after each atom.
Space group Pmc2_1 (No. 26)
One atom of each set of equivalent atoms:
Sc1 0.0000 0.2140 0.0000 [2 per cell]  2 O 2.01
As1 0.0000 0.2888 0.5080 [2 per cell]  4 Os 2.70-2.74, 4 Sc 2.76-2.86
Os1 0.5000 0.4992 0.7663 [2 per cell]  2 O 2.11-2.14
O1 0.5000 0.2167 0.0209 [2 per cell]  2 Sc 2.01, 2 Os 2.11-2.14

volume	126.6	Å³/cell
E	-63.06	eV/cell
ΔE to the lowest computed polymorph	1.54	eV per formula unit
density	8552	kg/m³

4.
ScAsOsO after structural relaxation, computed with PBE.

Lattice parameters (Å, degrees): 4.1364 4.1364 6.6271 90.00 90.00 90.00
With the nearest neighbours (Å) after each atom.
Space group P4/nmm (No. 129, origin choice 2)
One atom of each set of equivalent atoms:
Sc1 0.2500 0.7500 0.0000 [2 per cell]  4 As 2.74, 4 Sc 2.92
As1 0.2500 0.2500 0.2707 [2 per cell]  4 O 2.57, 1 Os 2.57, 4 Sc 2.74
Os1 0.2500 0.2500 0.6582 [2 per cell]  4 O 2.32, 1 As 2.57
O1 0.2500 0.7500 0.5000 [2 per cell]  4 Os 2.32, 4 As 2.57

volume	113.4	Å³/cell
E	-54.42	eV/cell
ΔE to the lowest computed polymorph	5.86	eV per formula unit
density	9552	kg/m³

5.
ScAsOsO after structural relaxation, computed with PBE.

Lattice parameters (Å, degrees): 3.9988 3.9988 7.4746 90.00 90.00 90.00
With the nearest neighbours (Å) after each atom.
Space group P4/nmm (No. 129, origin choice 2)
One atom of each set of equivalent atoms:
Sc1 0.2500 0.2500 0.1120 [2 per cell]  4 O 2.17
As1 0.2500 0.2500 0.6881 [2 per cell]  4 Os 2.44
Os1 0.2500 0.7500 0.5000 [2 per cell]  4 As 2.44
O1 0.2500 0.7500 0.0000 [2 per cell]  4 Sc 2.17

volume	119.5	Å³/cell
E	-66.14	eV/cell
ΔE to the lowest computed polymorph	0.00	eV per formula unit
density	9061	kg/m³

6.
ScAsOsO after structural relaxation, computed with PBE.

Lattice parameters (Å, degrees): 4.2496 4.6818 6.0601 90.00 90.00 90.00
With the nearest neighbours (Å) after each atom.
Space group Pmc2_1 (No. 26)
One atom of each set of equivalent atoms:
Sc1 0.0000 0.2370 0.0000 [2 per cell]  2 O 2.02
As1 0.5000 0.1336 0.6920 [2 per cell]  3 Os 2.43-2.50
Os1 0.5000 0.3646 0.3336 [2 per cell]  2 O 2.14
O1 0.0000 0.4121 0.3055 [2 per cell]  2 Sc 2.02, 2 Os 2.14

volume	120.6	Å³/cell
E	-62.64	eV/cell
ΔE to the lowest computed polymorph	1.75	eV per formula unit
density	8982	kg/m³